## Ta2BeRh6 (PBE)

Data for a relaxed structure of Ta2BeRh6.

Results
The magnetic moment is 0.000 μB/cell. Its symmetry is No. 71. Its calculated formation energy is -0.21 eV per atom. As for the total energy: -73.39 eV/cell.

a = 6.8596 Å, b = 6.8596 Å, c = 6.8596 Å
α = 144.38°, β = 127.73°, γ = 64.86°
Last column: nearest neighbours and their distance in Å.
Atoms (fractional coordinates):
Ta (0.1568, 0.1568, 0.0000)  8 Rh 2.52-2.61
Ta (0.8432, 0.8432, 0.0000)  8 Rh 2.52-2.61
Be (0.5000, 0.5000, 0.0000)  8 Rh 2.36-2.45
Rh (0.0974, 0.3402, 0.7572)  1 Be 2.36, 3 Ta 2.58-2.61
Rh (0.2894, 0.0000, 0.2894)  2 Be 2.45, 2 Ta 2.52, 1 Rh 2.55
Rh (0.4170, 0.6598, 0.7572)  1 Be 2.36, 3 Ta 2.58-2.61
Rh (0.5830, 0.3402, 0.2428)  1 Be 2.36, 3 Ta 2.58-2.61
Rh (0.7106, 0.0000, 0.7106)  2 Be 2.45, 2 Ta 2.52, 1 Rh 2.55
Rh (0.9026, 0.6598, 0.2428)  1 Be 2.36, 3 Ta 2.58-2.61



## Cu2Au3Br8 (PBE)

Data for a relaxed structure of Cu2Au3Br8.

Results
The formation energy (no corrections) is -0.162 eV per atom. The magnetic moment is 0.000 μB/cell. Its symmetry is No. 15. As for the total energy: -67.02 eV/cell.

a = 8.6031 Å, b = 8.6031 Å, c = 17.9735 Å
α = 112.71°, β = 112.71°, γ = 51.41°
Last column: nearest neighbours and their distance in Å.
Atoms (fractional coordinates):
Cu (0.0432, 0.5640, 0.8695)  3 Br 2.30-2.43
Cu (0.4360, 0.9568, 0.6305)  3 Br 2.30-2.43
Cu (0.5640, 0.0432, 0.3695)  3 Br 2.30-2.43
Cu (0.9568, 0.4360, 0.1305)  3 Br 2.30-2.43
Au (0.0232, 0.4446, 0.6278)  4 Br 2.55-2.61
Au (0.0904, 0.9096, 0.7500)  2 Br 2.45
Au (0.4446, 0.0232, 0.1278)  4 Br 2.55-2.61
Au (0.5554, 0.9768, 0.8722)  4 Br 2.55-2.61
Au (0.9096, 0.0904, 0.2500)  2 Br 2.45
Au (0.9768, 0.5554, 0.3722)  4 Br 2.55-2.61
Br (0.0420, 0.2274, 0.3868)  2 Au 2.45-2.61
Br (0.0990, 0.1245, 0.6539)  1 Cu 2.43, 1 Au 2.60
Br (0.1245, 0.0990, 0.1539)  1 Cu 2.43, 1 Au 2.60
Br (0.2274, 0.0420, 0.8868)  2 Au 2.45-2.61
Br (0.2468, 0.3981, 0.1249)  1 Cu 2.34, 1 Au 2.55
Br (0.3534, 0.3893, 0.3806)  1 Cu 2.30, 1 Au 2.56
Br (0.3893, 0.3534, 0.8806)  1 Cu 2.30, 1 Au 2.56
Br (0.3981, 0.2468, 0.6249)  1 Cu 2.34, 1 Au 2.55
Br (0.6019, 0.7532, 0.3751)  1 Cu 2.34, 1 Au 2.55
Br (0.6107, 0.6466, 0.1194)  1 Cu 2.30, 1 Au 2.56
Br (0.6466, 0.6107, 0.6194)  1 Cu 2.30, 1 Au 2.56
Br (0.7532, 0.6019, 0.8751)  1 Cu 2.34, 1 Au 2.55
Br (0.7726, 0.9580, 0.1132)  2 Au 2.45-2.61
Br (0.8755, 0.9010, 0.8461)  1 Cu 2.43, 1 Au 2.60
Br (0.9010, 0.8755, 0.3461)  1 Cu 2.43, 1 Au 2.60
Br (0.9580, 0.7726, 0.6132)  2 Au 2.45-2.61



## Pm2TlHg (PBE)

Data for a relaxed structure of Pm2TlHg.

Results
The magnetic moment is 3.825 μB/cell. Its symmetry is No. 225. Its calculated formation energy is -0.43 eV per atom. As for the total energy: -55.57 eV/cell.

a = 7.7046 Å, b = 7.7046 Å, c = 7.7046 Å
α = 90.00°, β = 90.00°, γ = 90.00°
Last column: nearest neighbours and their distance in Å.
Atoms (fractional coordinates):
Pm (0.2500, 0.2500, 0.2500)  4 Hg 3.34, 4 Tl 3.34
Pm (0.2500, 0.2500, 0.7500)  4 Hg 3.34, 4 Tl 3.34
Pm (0.2500, 0.7500, 0.2500)  4 Hg 3.34, 4 Tl 3.34
Pm (0.2500, 0.7500, 0.7500)  4 Hg 3.34, 4 Tl 3.34
Pm (0.7500, 0.2500, 0.2500)  4 Hg 3.34, 4 Tl 3.34
Pm (0.7500, 0.2500, 0.7500)  4 Hg 3.34, 4 Tl 3.34
Pm (0.7500, 0.7500, 0.2500)  4 Hg 3.34, 4 Tl 3.34
Pm (0.7500, 0.7500, 0.7500)  4 Hg 3.34, 4 Tl 3.34
Tl (0.0000, 0.0000, 0.0000)  8 Pm 3.34
Tl (0.0000, 0.5000, 0.5000)  8 Pm 3.34
Tl (0.5000, 0.0000, 0.5000)  8 Pm 3.34
Tl (0.5000, 0.5000, 0.0000)  8 Pm 3.34
Hg (0.0000, 0.0000, 0.5000)  8 Pm 3.34
Hg (0.0000, 0.5000, 0.0000)  8 Pm 3.34
Hg (0.5000, 0.0000, 0.0000)  8 Pm 3.34
Hg (0.5000, 0.5000, 0.5000)  8 Pm 3.34



## GeTe4Au2 (PBE)

Data for a relaxed structure of GeTe4Au2.

Results
The formation energy (no corrections) is -0.013 eV per atom. The magnetic moment is 0.000 μB/cell. Its symmetry is No. 121. As for the total energy: -47.65 eV/cell.

a = 5.9513 Å, b = 5.9513 Å, c = 12.3213 Å
α = 90.00°, β = 90.00°, γ = 90.00°
Last column: nearest neighbours and their distance in Å.
Atoms (fractional coordinates):
Ge (0.0000, 0.0000, 0.0000)  4 Te 2.67
Ge (0.5000, 0.5000, 0.5000)  4 Te 2.67
Te (0.2278, 0.2278, 0.6106)  1 Ge 2.67, 2 Au 2.72
Te (0.2278, 0.7722, 0.3894)  1 Ge 2.67, 2 Au 2.72
Te (0.2722, 0.2722, 0.1106)  1 Ge 2.67, 2 Au 2.72
Te (0.2722, 0.7278, 0.8894)  1 Ge 2.67, 2 Au 2.72
Te (0.7278, 0.2722, 0.8894)  1 Ge 2.67, 2 Au 2.72
Te (0.7278, 0.7278, 0.1106)  1 Ge 2.67, 2 Au 2.72
Te (0.7722, 0.2278, 0.3894)  1 Ge 2.67, 2 Au 2.72
Te (0.7722, 0.7722, 0.6106)  1 Ge 2.67, 2 Au 2.72
Au (0.0000, 0.5000, 0.2500)  4 Te 2.72
Au (0.0000, 0.5000, 0.7500)  4 Te 2.72
Au (0.5000, 0.0000, 0.2500)  4 Te 2.72
Au (0.5000, 0.0000, 0.7500)  4 Te 2.72